# MgFeF3

An optimized crystal structure of MgFeF3 (PBE with a Hubbard U, the Alexandria database).

abc: 3.938 3.938 3.938
angles: 90.00 90.00 90.00
Positions (direct):
Mg 0.000 0.000 0.000
Fe 0.500 0.500 0.500
F 0.000 0.000 0.500
F 0.000 0.500 0.000
F 0.500 0.000 0.000

Symmetry = Pm-3m (221)
Energy above the most stable polymorph in this dataset = 0.0 meV/atom
Total magnetization = 3.1 μB/cell
Density of states at the Fermi level = 3.5 states/eV per cell
Volume = 12.2 Å³ per atom